# 1
! Dy6ErTh2, optimized geometry, DFT PBE; values from VASP
&SYSTEM
  ibrav = 0, nat = 9, ntyp = 3
/
ATOMIC_SPECIES
Th 232.04 Th.upf
Dy 162.50 Dy.upf
Er 167.26 Er.upf
ATOMIC_POSITIONS crystal
Th 0.332 0.500 0.836
Th 0.668 0.500 0.164
Dy 0.665 0.169 0.500
Dy 0.004 0.826 0.166
Dy 0.670 0.826 0.834
Dy 0.335 0.831 0.500
Dy 0.996 0.174 0.834
Dy 0.330 0.174 0.166
Er 0.000 0.500 0.500
CELL_PARAMETERS angstrom
4.801 0.001 1.541
2.213 7.484 1.361
0.112 -0.621 7.911
! energy above the most stable polymorph in this dataset: 0.00 eV/f.u.

---

# 2
! DyErTh2, optimized geometry, DFT PBE; values from VASP
&SYSTEM
  ibrav = 0, nat = 8, ntyp = 3
/
ATOMIC_SPECIES
Er 167.26 Er.upf
Th 232.04 Th.upf
Dy 162.50 Dy.upf
ATOMIC_POSITIONS crystal
Er 0.628 0.750 0.628
Er 0.372 0.250 0.372
Th 0.376 0.750 0.876
Th 0.876 0.250 0.876
Th 0.124 0.750 0.124
Th 0.624 0.250 0.124
Dy 0.872 0.750 0.372
Dy 0.128 0.250 0.628
CELL_PARAMETERS angstrom
-0.127 -4.372 2.496
4.535 0.994 1.972
-4.256 8.931 5.285
! energy above the most stable polymorph in this dataset: 0.00 eV/f.u.

---

# 3
! DyErTh, optimized geometry, DFT PBE; values from VASP
&SYSTEM
  ibrav = 0, nat = 3, ntyp = 3
/
ATOMIC_SPECIES
Dy 162.50 Dy.upf
Th 232.04 Th.upf
Er 167.26 Er.upf
ATOMIC_POSITIONS crystal
Dy 0.000 0.000 0.995
Th 0.333 0.667 0.666
Er 0.667 0.333 0.339
CELL_PARAMETERS angstrom
-2.196 1.438 2.405
3.009 -1.582 1.058
4.183 7.506 -0.669
! energy above the most stable polymorph in this dataset: 0.01 eV/f.u.

---

| no. | DFT formation energy (eV per atom) |
| --- | --- |
| 1 | 0.030 |
| 2 | 0.031 |
| 3 | 0.021 |